Record 1
Entry from Alexandria via LeMat-Bulk: Ti6NbRe2 after structural relaxation (PBE).

Results
* total magnetic moment: 0.00 Bohr magnetons per cell
* crystal system: monoclinic
* DFT formation energy: 0.067 eV/atom
* space group: C2/m, No. 12

abc: 3.015 6.958 7.863
angles: 105.02 90.00 102.51
Positions (direct):
Ti 0.701 0.402 0.804
Re 0.370 0.739 0.924
Ti 0.668 0.336 0.403
Nb 0.000 0.000 0.500
Ti 0.009 0.018 0.822
Ti 0.299 0.598 0.196
Re 0.630 0.261 0.076
Ti 0.332 0.664 0.597
Ti 0.991 0.982 0.178



Record 2
Entry from Alexandria via LeMat-Bulk: Ti4Nb4Re after structural relaxation (PBE).

Results
* total magnetic moment: 0.00 Bohr magnetons per cell
* crystal system: tetragonal
* DFT formation energy: -0.082 eV/atom
* space group: I4/mmm, No. 139

abc: 7.105 7.105 7.105
angles: 92.97 92.97 153.67
Positions (direct):
Ti 0.344 0.655 0.000
Nb 0.000 0.665 0.666
Ti 0.345 0.344 0.689
Ti 0.656 0.345 0.000
Nb 0.665 0.000 0.665
Re 0.000 0.000 0.000
Nb 0.000 0.335 0.334
Ti 0.655 0.656 0.311
Nb 0.335 0.000 0.335



Record 3
Entry from Alexandria via LeMat-Bulk: TiNb2Re after structural relaxation (PBE).

Results
* total magnetic moment: 0.00 Bohr magnetons per cell
* crystal system: hexagonal
* DFT formation energy: 0.108 eV/atom
* space group: P6_3/mmc, No. 194

abc: 4.585 4.588 7.981
angles: 90.00 90.00 119.98
Positions (direct):
Nb 0.333 0.667 0.926
Re 0.333 0.666 0.250
Re 0.667 0.334 0.750
Nb 0.667 0.333 0.426
Nb 0.333 0.667 0.574
Nb 0.667 0.333 0.074
Ti 0.000 0.000 0.250
Ti 0.000 0.000 0.750



Record 4
Entry from Alexandria via LeMat-Bulk: Ti2Nb3Re4 after structural relaxation (PBE).

Results
* total magnetic moment: 0.00 Bohr magnetons per cell
* crystal system: trigonal
* DFT formation energy: -0.364 eV/atom
* space group: P-3m1, No. 164

abc: 4.465 4.465 8.388
angles: 90.00 90.00 60.00
Positions (direct):
Nb 0.333 0.333 0.435
Re 0.000 0.000 0.664
Re 0.667 0.667 0.889
Ti 0.333 0.333 0.785
Ti 0.667 0.667 0.215
Re 0.333 0.333 0.111
Nb 0.000 0.000 0.000
Nb 0.667 0.667 0.565
Re 0.000 0.000 0.336



- Which formula does entry 4 have?
  Ti2Nb3Re4